Record 1
Material: ZnFeSnS3
Method: DFT, GGA-PBE
State: optimized geometry

Calculated values
V, Å³/cell: 232.25
Energy above the lowest structure with this stoichiometry, meV per atom: 4.7
E_tot, eV/atom: -4.597
Space-group type: No. 63

a b c (Å): 6.5641 6.5641 9.9031
angles (deg): 90.00 90.00 147.02
With the nearest neighbours (Å) after each atom.
Sites, in units of the cell vectors:
Zn1 0.0000 0.0000 0.0000  6 S 2.55-2.66
Zn2 0.0000 0.0000 0.5000  6 S 2.55-2.66
Fe1 0.4680 0.5320 0.7500  4 S 2.27-2.32
Fe2 0.5320 0.4680 0.2500  4 S 2.27-2.32
Sn1 0.2412 0.7588 0.2500  6 S 2.95-3.00, 2 Fe 3.23
Sn2 0.7588 0.2412 0.7500  6 S 2.95-3.00, 2 Fe 3.23
S1 0.0774 0.9226 0.7500  2 Fe 2.32
S2 0.3690 0.6310 0.5581  1 Fe 2.27
S3 0.3690 0.6310 0.9419  1 Fe 2.27
S4 0.6310 0.3690 0.0581  1 Fe 2.27
S5 0.6310 0.3690 0.4419  1 Fe 2.27
S6 0.9226 0.0774 0.2500  2 Fe 2.32

=====

Record 2
Material: TlMo2S2Cl6
Method: DFT, GGA-PBE
State: optimized geometry

Calculated values
V, Å³/cell: 273.28
E_tot, eV/atom: -4.647
Space-group type: No. 12

a b c (Å): 6.5375 6.5375 10.2396
angles (deg): 107.01 107.01 41.10
With the nearest neighbours (Å) after each atom.
Sites, in units of the cell vectors:
Tl1 0.0000 0.0000 0.0000  8 Cl 3.30-3.44, 2 S 3.63
Mo1 0.4959 0.4959 0.3530  2 S 2.29, 4 Cl 2.41-2.42
Mo2 0.5041 0.5041 0.6470  2 S 2.29, 4 Cl 2.41-2.42
S1 0.0036 0.0036 0.6467  2 Mo 2.29
S2 0.9964 0.9964 0.3533  2 Mo 2.29
Cl1 0.3359 0.3359 0.4442  2 Mo 2.42
Cl2 0.3520 0.3520 0.1298  1 Mo 2.41
Cl3 0.3672 0.3672 0.7742  1 Mo 2.42
Cl4 0.6328 0.6328 0.2258  1 Mo 2.42
Cl5 0.6480 0.6480 0.8702  1 Mo 2.41
Cl6 0.6641 0.6641 0.5558  2 Mo 2.42

=====

Record 3
Material: CuTe
Method: DFT, GGA-PBE
State: optimized geometry

Calculated values
V, Å³/cell: 99.94
E_tot, eV/atom: -3.440
Space-group type: No. 186

a b c (Å): 4.0585 4.0585 7.0063
angles (deg): 90.00 90.00 120.00
With the nearest neighbours (Å) after each atom.
Sites, in units of the cell vectors:
Cu1 0.3333 0.6667 0.0000  4 Te 2.53-2.54
Cu2 0.6667 0.3333 0.5000  4 Te 2.53-2.54
Te1 0.3333 0.6667 0.3611  4 Cu 2.53-2.54
Te2 0.6667 0.3333 0.8611  4 Cu 2.53-2.54

=====

Record 4
Material: RbTePd
Method: DFT, GGA-PBE
State: optimized geometry

Calculated values
V, Å³/cell: 91.44
E_tot, eV/atom: -3.256
Space-group type: No. 216

a b c (Å): 5.0570 5.0570 5.0570
angles (deg): 60.00 60.00 60.00
With the nearest neighbours (Å) after each atom.
Sites, in units of the cell vectors:
Rb1 0.0000 0.0000 0.0000  4 Pd 3.10
Te1 0.5000 0.5000 0.5000  4 Pd 3.10
Pd1 0.2500 0.2500 0.2500  4 Te 3.10, 4 Rb 3.10

=====

Record 5
Material: LiPd2Pb
Method: DFT, GGA-PBE
State: optimized geometry

Calculated values
V, Å³/cell: 142.96
E_tot, eV/atom: -4.379
Space-group type: No. 194

a b c (Å): 4.4205 4.4205 8.4476
angles (deg): 90.00 90.00 120.00
With the nearest neighbours (Å) after each atom.
Sites, in units of the cell vectors:
Li1 0.0000 0.0000 0.0000  6 Pd 2.65
Li2 0.0000 0.0000 0.5000  6 Pd 2.65
Pd1 0.3333 0.6667 0.0850  3 Li 2.65, 4 Pd 2.79-2.93, 4 Pb 2.83-2.91
Pd2 0.3333 0.6667 0.4150  3 Li 2.65, 4 Pd 2.79-2.93, 4 Pb 2.83-2.91
Pd3 0.6667 0.3333 0.5850  3 Li 2.65, 4 Pd 2.79-2.93, 4 Pb 2.83-2.91
Pd4 0.6667 0.3333 0.9150  3 Li 2.65, 4 Pd 2.79-2.93, 4 Pb 2.83-2.91
Pb1 0.3333 0.6667 0.7500  8 Pd 2.83-2.91
Pb2 0.6667 0.3333 0.2500  8 Pd 2.83-2.91

=====

Record 6
Material: KAuO3
Method: DFT, GGA-PBE
State: optimized geometry

Calculated values
V, Å³/cell: 68.42
E_tot, eV/atom: -3.986
Space-group type: No. 99

a b c (Å): 4.0075 4.0075 4.2604
angles (deg): 90.00 90.00 90.00
With the nearest neighbours (Å) after each atom.
Sites, in units of the cell vectors:
K1 0.0000 0.0000 0.0000  8 O 2.75-2.83
Au1 0.5000 0.5000 0.4656  5 O 1.99-2.04
O1 0.0000 0.5000 0.5572  2 Au 2.04
O2 0.5000 0.0000 0.5572  2 Au 2.04
O3 0.5000 0.5000 0.9977  1 Au 1.99

=====

Record 7
Material: CdGePO
Method: DFT, GGA-PBE
State: optimized geometry

Calculated values
V, Å³/cell: 141.94
Energy above the lowest structure with this stoichiometry, meV per atom: 265.2
E_tot, eV/atom: -4.149
Space-group type: No. 129

a b c (Å): 3.8988 3.8988 9.3376
angles (deg): 90.00 90.00 90.00
With the nearest neighbours (Å) after each atom.
Sites, in units of the cell vectors:
Cd1 0.2500 0.7500 0.0000  4 P 2.65, 4 Cd 2.76
Cd2 0.7500 0.2500 0.0000  4 P 2.65, 4 Cd 2.76
Ge1 0.2500 0.2500 0.3983  4 O 2.17
Ge2 0.7500 0.7500 0.6017  4 O 2.17
P1 0.2500 0.2500 0.8073  4 Cd 2.65
P2 0.7500 0.7500 0.1927  4 Cd 2.65
O1 0.2500 0.7500 0.5000  4 Ge 2.17
O2 0.7500 0.2500 0.5000  4 Ge 2.17

=====

Record 8
Material: Pr2AsP
Method: DFT, GGA-PBE
State: optimized geometry

Calculated values
V, Å³/cell: 108.86
E_tot, eV/atom: -6.411
Space-group type: No. 166

a b c (Å): 7.3747 7.3747 7.3747
angles (deg): 33.51 33.51 33.51
With the nearest neighbours (Å) after each atom.
Sites, in units of the cell vectors:
Pr1 0.2478 0.2478 0.2478  3 P 2.98, 3 As 3.03
Pr2 0.7522 0.7522 0.7522  3 P 2.98, 3 As 3.03
As1 0.0000 0.0000 0.0000  6 Pr 3.03
P1 0.5000 0.5000 0.5000  6 Pr 2.98

=====

Record 9
Material: TbDyGa
Method: DFT, GGA-PBE
State: optimized geometry

Calculated values
V, Å³/cell: 86.27
E_tot, eV/atom: -4.336
Space-group type: No. 216

a b c (Å): 4.9598 4.9598 4.9598
angles (deg): 60.00 60.00 60.00
With the nearest neighbours (Å) after each atom.
Sites, in units of the cell vectors:
Tb1 0.0000 0.0000 0.0000  4 Ga 3.04
Dy1 0.5000 0.5000 0.5000  4 Ga 3.04
Ga1 0.7500 0.7500 0.7500  4 Tb 3.04, 4 Dy 3.04

=====

Record 10
Material: CoC3
Method: DFT, GGA-PBE
State: optimized geometry

Calculated values
V, Å³/cell: 81.32
Energy above the lowest structure with this stoichiometry, meV per atom: 889.6
E_tot, eV/atom: -6.809
Space-group type: No. 194

a b c (Å): 3.9061 3.9061 6.1541
angles (deg): 90.00 90.00 120.00
With the nearest neighbours (Å) after each atom.
Sites, in units of the cell vectors:
Co1 0.3333 0.6667 0.2500  6 C 1.98
Co2 0.6667 0.3333 0.7500  6 C 1.98
C1 0.1224 0.2447 0.7500  2 C 1.43
C2 0.1224 0.8776 0.7500  2 C 1.43
C3 0.2447 0.1224 0.2500  2 C 1.43
C4 0.7553 0.8776 0.7500  2 C 1.43
C5 0.8776 0.1224 0.2500  2 C 1.43
C6 0.8776 0.7553 0.2500  2 C 1.43

=====

Record 11
Material: Pr3Ho2ErCoTe2
Method: DFT, GGA-PBE
State: optimized geometry

Calculated values
V, Å³/cell: 250.99
E_tot, eV/atom: -5.315
Space-group type: No. 38

a b c (Å): 4.0314 8.4787 8.4787
angles (deg): 120.00 90.00 90.00
With the nearest neighbours (Å) after each atom.
Sites, in units of the cell vectors:
Pr1 0.0000 0.0000 0.0000  4 Te 3.27, 1 Co 3.43, 4 Ho 3.59
Pr2 0.0000 0.1935 0.5966  4 Te 3.28, 1 Co 3.42, 2 Ho 3.59, 2 Er 3.59
Pr3 0.0000 0.5966 0.1935  4 Te 3.28, 1 Co 3.42, 2 Ho 3.59, 2 Er 3.59
Ho1 0.5000 0.5965 0.8270  2 Co 2.81
Ho2 0.5000 0.8270 0.5965  2 Co 2.81
Er1 0.5000 0.3665 0.3665  2 Co 2.80
Co1 0.0000 0.5960 0.5960  2 Er 2.80, 4 Ho 2.81
Te1 0.5000 0.2633 0.9301  6 Pr 3.27-3.28, 1 Er 3.35, 2 Ho 3.35
Te2 0.5000 0.9301 0.2633  6 Pr 3.27-3.28, 1 Er 3.35, 2 Ho 3.35

=====

Record 12
Material: Sc2PdPt
Method: DFT, GGA-PBE
State: optimized geometry

Calculated values
V, Å³/cell: 286.83
Energy above the lowest structure with this stoichiometry, meV per atom: 10.5
E_tot, eV/atom: -7.055
ΔH_f (0 K), meV/atom: -1083
Space-group type: No. 62

a b c (Å): 6.6323 6.6910 6.4635
angles (deg): 90.00 90.00 90.00
With the nearest neighbours (Å) after each atom.
Sites, in units of the cell vectors:
Sc1 0.2500 0.0008 0.2494  4 Pt 2.83-2.88, 4 Pd 2.83-2.87
Sc2 0.2500 0.4992 0.2494  4 Pt 2.83-2.88, 4 Pd 2.83-2.87
Sc3 0.2500 0.5008 0.7494  4 Pt 2.83-2.88, 4 Pd 2.83-2.87
Sc4 0.2500 0.9992 0.7494  4 Pt 2.83-2.88, 4 Pd 2.83-2.87
Sc5 0.7500 0.0008 0.2506  4 Pt 2.83-2.88, 4 Pd 2.83-2.87
Sc6 0.7500 0.4992 0.2506  4 Pt 2.83-2.88, 4 Pd 2.83-2.87
Sc7 0.7500 0.5008 0.7506  4 Pt 2.83-2.88, 4 Pd 2.83-2.87
Sc8 0.7500 0.9992 0.7506  4 Pt 2.83-2.88, 4 Pd 2.83-2.87
Pd1 0.0020 0.2500 0.5042  8 Sc 2.83-2.87
Pd2 0.4980 0.7500 0.0042  8 Sc 2.83-2.87
Pd3 0.5020 0.2500 0.9958  8 Sc 2.83-2.87
Pd4 0.9980 0.7500 0.4958  8 Sc 2.83-2.87
Pt1 0.0031 0.7500 0.9975  8 Sc 2.83-2.88
Pt2 0.4969 0.2500 0.4975  8 Sc 2.83-2.88
Pt3 0.5031 0.7500 0.5025  8 Sc 2.83-2.88
Pt4 0.9969 0.2500 0.0025  8 Sc 2.83-2.88